Record 1
Entry from Alexandria: crystalline LaTm2Ag6 at its relaxed geometry (PBE).

Lattice parameters (Å, degrees): 8.2915 8.2915 3.4432 90.00 90.00 120.00
Space group P6/mmm (No. 191)
One atom of each set of equivalent atoms:
La (0.0000, 0.0000, 0.0000)
Tm (0.3333, 0.6667, 0.0000)
Ag (0.0000, 0.3371, 0.5000)

Summary:
- ΔE_f: -0.24 eV per atom

Record 2
Entry from Alexandria: crystalline La2BeCl at its relaxed geometry (PBE).

Lattice parameters (Å, degrees): 7.2585 7.2585 7.2585 90.00 90.00 90.00
Space group F-43m (No. 216)
One atom of each set of equivalent atoms:
La (0.0000, 0.0000, 0.0000)
La (0.2500, 0.2500, 0.2500)
Be (0.0000, 0.0000, 0.5000)
Cl (0.2500, 0.2500, 0.7500)

Summary:
- Polymorph energy (0 for the lowest one): 881 meV/atom

Record 3
Entry from Alexandria: crystalline ScGeAu2I at its relaxed geometry (PBE).

Lattice parameters (Å, degrees): 4.8997 4.8997 5.4353 90.00 90.00 90.00
Space group P4/mmm (No. 123)
One atom of each set of equivalent atoms:
Sc (0.0000, 0.0000, 0.0000)
Ge (0.0000, 0.0000, 0.5000)
Au (0.0000, 0.5000, 0.5000)
I (0.5000, 0.5000, 0.0000)

Summary:
- Calculated total energy: -3.86 eV/atom

Calculated values (A^3/atom) of V for the records, taken in order: 22.8 23.9 26.1.
Calculated values (g cm⁻³) of mass density for the records, taken in order: 9.104 5.598 8.125.